CePa2Al GGA-PBE relaxed; calculated volume = 23.03 Å³ per atom; excess energy over the best structure of this formula in the dataset = 0.688 eV per formula unit; crystal system = cubic; energy of formation from the pure elements = 0.1102 eV/atom
1.0
-3.0608 -2.0123 3.5039
0.8192 -4.7136 1.6753
1.6976 -0.7544 4.7164
Al Ce Pa
1 1 2
direct
0.5000 0.5000 0.5000
0.0000 0.0000 0.0000
0.2500 0.2500 0.2500
0.7500 0.7500 0.7500